A relaxed SmErMg17 crystal, computed with PBE.

Lattice parameters (Å, degrees): 7.784 7.784 7.784 82.08 82.08 82.08
Atoms (fractional coordinates):
Sm1 0.670 0.670 0.670
Er1 0.328 0.328 0.328
Mg1 0.303 0.002 0.696
Mg2 0.696 0.303 0.002
Mg3 0.002 0.696 0.303
Mg4 0.303 0.696 0.002
Mg5 0.002 0.303 0.696
Mg6 0.696 0.002 0.303
Mg7 0.352 0.843 0.352
Mg8 0.352 0.352 0.843
Mg9 0.843 0.352 0.352
Mg10 0.646 0.163 0.646
Mg11 0.646 0.646 0.163
Mg12 0.163 0.646 0.646
Mg13 0.997 0.502 0.997
Mg14 0.997 0.997 0.502
Mg15 0.502 0.997 0.997
Mg16 0.902 0.902 0.902
Mg17 0.100 0.100 0.100

Calculated values
As for the space group: R3m, No. 160. The formation energy from the elements is -37 kJ/mol of formula units. Its magnetization is 0.00 μB per formula unit.